(1)
# Dy2InCuTe4, optimized geometry, DFT PBE
data_Dy2InCuTe4
_space_group_name_H-M_alt 'C m c m'
_space_group_IT_number 63
_space_group_name_Hall '-C 2c 2'
_cell_length_a 4.3328
_cell_length_b 14.9367
_cell_length_c 15.2759
_cell_angle_alpha 90.00
_cell_angle_beta 90.00
_cell_angle_gamma 90.00
loop_
_atom_site_label
_atom_site_type_symbol
_atom_site_fract_x
_atom_site_fract_y
_atom_site_fract_z
Dy1 Dy 0.0000 0.1348 0.0671
In1 In 0.0000 0.3841 0.2500
Cu1 Cu 0.0000 0.3427 0.7500
Te1 Te 0.0000 0.0560 0.2500
Te2 Te 0.0000 0.2292 0.6159
Te3 Te 0.0000 0.5000 0.0000
# energy relative to the elements, uncorrected	-924	meV per atom
# total DFT energy (no corrections)	-4.499	eV per atom


(2)
# DyTlInCu, optimized geometry, DFT PBE
data_DyTlInCu
_space_group_name_H-M_alt 'F -4 3 m'
_space_group_IT_number 216
_space_group_name_Hall 'F -4 2 3'
_cell_length_a 7.1368
_cell_length_b 7.1368
_cell_length_c 7.1368
_cell_angle_alpha 90.00
_cell_angle_beta 90.00
_cell_angle_gamma 90.00
loop_
_atom_site_label
_atom_site_type_symbol
_atom_site_fract_x
_atom_site_fract_y
_atom_site_fract_z
Dy1 Dy 0.0000 0.0000 0.0000
Tl1 Tl 0.2500 0.2500 0.2500
In1 In 0.0000 0.0000 0.5000
Cu1 Cu 0.2500 0.2500 0.7500
# total DFT energy (no corrections)	-3.561	eV per atom
# ΔE_f	-0.110	eV per atom
# DOS(E_F)	0.3223	states/eV/atom


(3)
# DyTmInCu, optimized geometry, DFT PBE
data_DyTmInCu
_space_group_name_H-M_alt 'F -4 3 m'
_space_group_IT_number 216
_space_group_name_Hall 'F -4 2 3'
_cell_length_a 7.2481
_cell_length_b 7.2481
_cell_length_c 7.2481
_cell_angle_alpha 90.00
_cell_angle_beta 90.00
_cell_angle_gamma 90.00
loop_
_atom_site_label
_atom_site_type_symbol
_atom_site_fract_x
_atom_site_fract_y
_atom_site_fract_z
Dy1 Dy 0.0000 0.0000 0.0000
Tm1 Tm 0.0000 0.0000 0.5000
In1 In 0.2500 0.2500 0.7500
Cu1 Cu 0.2500 0.2500 0.2500
# total DFT energy (no corrections)	-4.290	eV per atom
# ΔE_f	-0.313	eV per atom
# DOS(E_F)	0.7722	states/eV/atom


(4)
# DyYInCu, optimized geometry, DFT PBE
data_DyYInCu
_space_group_name_H-M_alt 'F -4 3 m'
_space_group_IT_number 216
_space_group_name_Hall 'F -4 2 3'
_cell_length_a 7.3078
_cell_length_b 7.3078
_cell_length_c 7.3078
_cell_angle_alpha 90.00
_cell_angle_beta 90.00
_cell_angle_gamma 90.00
loop_
_atom_site_label
_atom_site_type_symbol
_atom_site_fract_x
_atom_site_fract_y
_atom_site_fract_z
Dy1 Dy 0.0000 0.0000 0.0000
Y1 Y 0.0000 0.0000 0.5000
In1 In 0.2500 0.2500 0.7500
Cu1 Cu 0.2500 0.2500 0.2500
# total DFT energy (no corrections)	-4.798	eV per atom
# ΔE_f	-0.323	eV per atom
# DOS(E_F)	0.8413	states/eV/atom


(5)
# DyZrInCu, optimized geometry, DFT PBE
data_DyZrInCu
_space_group_name_H-M_alt 'F -4 3 m'
_space_group_IT_number 216
_space_group_name_Hall 'F -4 2 3'
_cell_length_a 7.0708
_cell_length_b 7.0708
_cell_length_c 7.0708
_cell_angle_alpha 90.00
_cell_angle_beta 90.00
_cell_angle_gamma 90.00
loop_
_atom_site_label
_atom_site_type_symbol
_atom_site_fract_x
_atom_site_fract_y
_atom_site_fract_z
Dy1 Dy 0.0000 0.0000 0.0000
Zr1 Zr 0.0000 0.0000 0.5000
In1 In 0.2500 0.2500 0.7500
Cu1 Cu 0.2500 0.2500 0.2500
# total DFT energy (no corrections)	-5.158	eV per atom
# ΔE_f	-0.162	eV per atom
# DOS(E_F)	0.8570	states/eV/atom


(6)
# Dy2CuIr, optimized geometry, DFT PBE
data_Dy2CuIr
_space_group_name_H-M_alt 'C 1 2/m 1'
_space_group_IT_number 12
_space_group_name_Hall '-C 2y'
_cell_length_a 6.8501
_cell_length_b 6.9050
_cell_length_c 4.8562
_cell_angle_alpha 90.00
_cell_angle_beta 134.66
_cell_angle_gamma 90.00
loop_
_atom_site_label
_atom_site_type_symbol
_atom_site_fract_x
_atom_site_fract_y
_atom_site_fract_z
Dy1 Dy 0.0000 0.2500 0.0000
Cu1 Cu 0.0000 0.0000 0.5000
Ir1 Ir 0.0000 0.5000 0.5000
# total DFT energy (no corrections)	-6.136	eV per atom
# ΔE_f	-0.596	eV per atom
# DOS(E_F)	0.5770	states/eV/atom


(7)
# Dy5CuIr4, optimized geometry, DFT PBE
data_Dy5CuIr4
_space_group_name_H-M_alt 'P 4/m m m'
_space_group_IT_number 123
_space_group_name_Hall '-P 4 2'
_cell_length_a 3.4243
_cell_length_b 3.4243
_cell_length_c 17.3993
_cell_angle_alpha 90.00
_cell_angle_beta 90.00
_cell_angle_gamma 90.00
loop_
_atom_site_label
_atom_site_type_symbol
_atom_site_fract_x
_atom_site_fract_y
_atom_site_fract_z
Dy1 Dy 0.0000 0.0000 0.0000
Dy2 Dy 0.0000 0.0000 0.1983
Dy3 Dy 0.0000 0.0000 0.3949
Cu1 Cu 0.5000 0.5000 0.5000
Ir1 Ir 0.5000 0.5000 0.0995
Ir2 Ir 0.5000 0.5000 0.2998
# total DFT energy (no corrections)	-6.962	eV per atom
# ΔE_f	-0.707	eV per atom
# DOS(E_F)	0.9239	states/eV/atom


(8)
# Dy2CuIr, optimized geometry, DFT PBE
data_Dy2CuIr
_space_group_name_H-M_alt 'P 1 21/m 1'
_space_group_IT_number 11
_space_group_name_Hall '-P 2yb'
_cell_length_a 5.5636
_cell_length_b 4.3242
_cell_length_c 7.6218
_cell_angle_alpha 90.00
_cell_angle_beta 110.29
_cell_angle_gamma 90.00
loop_
_atom_site_label
_atom_site_type_symbol
_atom_site_fract_x
_atom_site_fract_y
_atom_site_fract_z
Dy1 Dy 0.2152 0.2500 0.4359
Dy2 Dy 0.2278 0.2500 0.9250
Cu1 Cu 0.3431 0.7500 0.2115
Ir1 Ir 0.3504 0.7500 0.7143
# total DFT energy (no corrections)	-6.175	eV per atom
# ΔE_f	-0.634	eV per atom
# DOS(E_F)	0.6772	states/eV/atom


(9)
# Dy2CuIr2, optimized geometry, DFT PBE
data_Dy2CuIr2
_space_group_name_H-M_alt 'I m m m'
_space_group_IT_number 71
_space_group_name_Hall '-I 2 2'
_cell_length_a 4.2113
_cell_length_b 5.7152
_cell_length_c 8.2178
_cell_angle_alpha 90.00
_cell_angle_beta 90.00
_cell_angle_gamma 90.00
loop_
_atom_site_label
_atom_site_type_symbol
_atom_site_fract_x
_atom_site_fract_y
_atom_site_fract_z
Dy1 Dy 0.0000 0.0000 0.2056
Cu1 Cu 0.0000 0.5000 0.0000
Ir1 Ir 0.0000 0.2715 0.5000
# total DFT energy (no corrections)	-6.892	eV per atom
# ΔE_f	-0.688	eV per atom
# DOS(E_F)	0.6321	states/eV/atom


(10)
# Dy2Cu15Ir2, optimized geometry, DFT PBE
data_Dy2Cu15Ir2
_space_group_name_H-M_alt 'R -3 m'
_space_group_IT_number 166
_space_group_name_Hall '-R 3 2"'
_cell_length_a 8.5860
_cell_length_b 8.5860
_cell_length_c 12.5143
_cell_angle_alpha 90.00
_cell_angle_beta 90.00
_cell_angle_gamma 120.00
loop_
_atom_site_label
_atom_site_type_symbol
_atom_site_fract_x
_atom_site_fract_y
_atom_site_fract_z
Dy1 Dy 0.0000 0.0000 0.1652
Cu1 Cu 0.0000 0.2931 0.5000
Cu2 Cu 0.0000 0.5000 0.0000
Cu3 Cu 0.0026 0.5013 0.6492
Ir1 Ir 0.0000 0.0000 0.3956
# total DFT energy (no corrections)	-4.782	eV per atom
# ΔE_f	-0.131	eV per atom
# DOS(E_F)	0.4893	states/eV/atom


(11)
# Dy8CuIr2, optimized geometry, DFT PBE
data_Dy8CuIr2
_space_group_name_H-M_alt 'C 1 m 1'
_space_group_IT_number 8
_space_group_name_Hall 'C -2y'
_cell_length_a 8.4355
_cell_length_b 12.4318
_cell_length_c 5.9465
_cell_angle_alpha 90.00
_cell_angle_beta 106.85
_cell_angle_gamma 90.00
loop_
_atom_site_label
_atom_site_type_symbol
_atom_site_fract_x
_atom_site_fract_y
_atom_site_fract_z
Dy1 Dy 0.0000 0.0000 0.0000
Dy2 Dy 0.0705 0.3671 0.8041
Dy3 Dy 0.1579 0.1321 0.5910
Dy4 Dy 0.2281 0.5000 0.3830
Dy5 Dy 0.3688 0.2245 0.1913
Cu1 Cu 0.3646 0.0000 0.0264
Ir1 Ir 0.3632 0.3135 0.6934
# total DFT energy (no corrections)	-5.657	eV per atom
# ΔE_f	-0.327	eV per atom
# DOS(E_F)	1.0426	states/eV/atom


(12)
# Dy2CuIr, optimized geometry, DFT PBE
data_Dy2CuIr
_space_group_name_H-M_alt 'P 4/m m m'
_space_group_IT_number 123
_space_group_name_Hall '-P 4 2'
_cell_length_a 4.8276
_cell_length_b 4.8276
_cell_length_c 3.5076
_cell_angle_alpha 90.00
_cell_angle_beta 90.00
_cell_angle_gamma 90.00
loop_
_atom_site_label
_atom_site_type_symbol
_atom_site_fract_x
_atom_site_fract_y
_atom_site_fract_z
Dy1 Dy 0.0000 0.5000 0.0000
Cu1 Cu 0.0000 0.0000 0.5000
Ir1 Ir 0.5000 0.5000 0.5000
# total DFT energy (no corrections)	-6.109	eV per atom
# ΔE_f	-0.569	eV per atom
# DOS(E_F)	0.6506	states/eV/atom